This record from Alexandria via LeMat-Bulk describes an optimized crystal structure of La2In2Hg. The functional is GGA-PBE.

Cell lengths 6.3354, 6.3354, 10.5496 Å; angles 108.86, 108.86, 47.20 degrees
Closest atoms and distances in Å follow each position.
Sites, in units of the cell vectors:
La1 0.0783 0.0783 0.3615  7 In 3.35-3.53, 4 Hg 3.46-3.60, 1 La 3.66
La2 0.1705 0.1705 0.0632  2 Hg 3.34, 6 In 3.43-3.56, 4 La 3.66-3.70
La3 0.8295 0.8295 0.9368  2 Hg 3.34, 6 In 3.43-3.56, 4 La 3.66-3.70
La4 0.9217 0.9217 0.6385  7 In 3.35-3.53, 4 Hg 3.46-3.60, 1 La 3.66
In1 0.3818 0.3818 0.3934  1 In 2.87, 2 Hg 2.93
In2 0.4912 0.4912 0.1413  1 Hg 2.97, 2 In 3.06-3.33
In3 0.5088 0.5088 0.8587  1 Hg 2.97, 2 In 3.06-3.33
In4 0.6182 0.6182 0.6066  1 In 2.87, 2 Hg 2.93
Hg1 0.2373 0.2373 0.7176  3 In 2.93-2.97
Hg2 0.7627 0.7627 0.2824  3 In 2.93-2.97

Results
space group: No. 12
crystal system: monoclinic
spin magnetization: 0.00 μB/atom
E: -3.608 eV per atom